Record 1
Material: BaCeTlSn
Method: DFT, PBE
State: relaxed

V in Å³/cell: 135
E_tot in eV per cell: -15.54
Density of states at the Fermi level in states/eV/atom: 2.4576

Unit cell a=5.764 b=5.764 c=5.764 alpha=60.00 beta=60.00 gamma=60.00
Fractional positions:
Sn (0.500, 0.500, 0.500)
Ce (0.250, 0.250, 0.250)
Ba (0.750, 0.750, 0.750)
Tl (0.000, 0.000, 0.000)

***

Record 2
Material: AlRuBr2
Method: DFT, PBE
State: relaxed

V in Å³/cell: 81
Formation energy (no corrections) in eV per atom: 0.56
E_tot in eV per cell: -14.14
Energy relative to the lowest polymorph listed for this composition in eV per atom: 0.7642
Density of states at the Fermi level in states/eV/atom: 1.1163

Unit cell a=3.200 b=5.826 c=4.355 alpha=90.00 beta=90.00 gamma=90.00
Fractional positions:
Ru (0.500, 0.000, 0.500)
Br (0.500, 0.500, 0.000)
Br (0.000, 0.000, 0.000)
Al (0.000, 0.500, 0.500)

***

Question: Among the records above, which one has the lowest E_tot?
Answer: BaCeTlSn